(1)
First-principles (meta-GGA SCAN) data for a PBEsol-optimized structure of LaCr3Se, as listed in the Alexandria database.

a = 4.576 Å, b = 4.576 Å, c = 4.576 Å
α = 90.00°, β = 90.00°, γ = 90.00°
Each line ends with the local moment (μB).
Positions (direct):
Cr  0.500  0.000  0.000  3.02
La  0.500  0.500  0.500  -0.28
Cr  0.000  0.000  0.500  3.02
Se  0.000  0.000  0.000  -0.17
Cr  0.000  0.500  0.000  3.02

Calculated density, g cm⁻³: 6.478
E, eV per atom: -23.25
Energy relative to the elements, uncorrected, eV per atom: 0.41



(2)
First-principles (meta-GGA SCAN) data for a PBEsol-optimized structure of Al2SeCl, as listed in the Alexandria database.

a = 3.756 Å, b = 3.756 Å, c = 6.612 Å
α = 106.50°, β = 106.50°, γ = 90.00°
Positions (direct):
Cl  0.500  0.500  0.000
Al  0.750  0.250  0.500
Se  0.250  0.750  0.500
Al  0.000  0.000  0.000

Calculated density, g cm⁻³: 3.273
E, eV per atom: -11.02
Energy relative to the elements, uncorrected, eV per atom: -0.13
Offset from the most stable computed form, eV/atom: 0.3043



(3)
First-principles (meta-GGA SCAN) data for a PBEsol-optimized structure of Nd2TiCuO6, as listed in the Alexandria database.

a = 5.417 Å, b = 5.781 Å, c = 7.537 Å
α = 90.00°, β = 90.44°, γ = 90.00°
Each line ends with the local moment (μB).
Positions (direct):
Ti  0.500  0.500  0.500  0.03
Cu  0.000  0.000  0.500  0.70
O  0.814  0.289  0.049  0.05
O  0.907  0.028  0.749  0.07
Nd  0.016  0.431  0.750  0.00
O  0.792  0.318  0.453  0.02
O  0.708  0.818  0.047  0.02
Nd  0.984  0.569  0.250  0.00
Cu  0.500  0.500  0.000  0.70
O  0.208  0.682  0.547  0.02
Ti  0.000  0.000  0.000  0.03
O  0.186  0.711  0.951  0.05
O  0.593  0.528  0.751  0.07
O  0.292  0.182  0.953  0.02
O  0.407  0.472  0.249  0.07
O  0.686  0.789  0.451  0.05
Nd  0.484  0.931  0.750  0.00
O  0.314  0.211  0.549  0.05
Nd  0.516  0.069  0.250  0.00
O  0.093  0.972  0.251  0.07

Calculated density, g cm⁻³: 6.977
E, eV per atom: -18.65
Energy relative to the elements, uncorrected, eV per atom: -3.08



(4)
First-principles (meta-GGA SCAN) data for a PBEsol-optimized structure of ZnCdSe2Br, as listed in the Alexandria database.

a = 5.180 Å, b = 5.180 Å, c = 5.227 Å
α = 90.00°, β = 90.00°, γ = 90.00°
Positions (direct):
Cd  0.000  0.000  0.000
Zn  0.500  0.500  0.500
Se  0.500  0.000  0.000
Se  0.000  0.500  0.000
Br  0.000  0.000  0.500

Calculated density, g cm⁻³: 4.921
E, eV per atom: -20.29
Energy relative to the elements, uncorrected, eV per atom: 0.42



(5)
First-principles (meta-GGA SCAN) data for a PBEsol-optimized structure of Mg2MnBr, as listed in the Alexandria database.

a = 4.068 Å, b = 4.068 Å, c = 5.907 Å
α = 110.14°, β = 110.14°, γ = 90.00°
Each line ends with the local moment (μB).
Positions (direct):
Mg  0.750  0.250  0.500  -0.01
Mn  0.500  0.500  0.000  4.28
Mg  0.000  0.000  0.000  -0.03
Br  0.250  0.750  0.500  0.05

Calculated density, g cm⁻³: 3.568
E, eV per atom: -11.91
Energy relative to the elements, uncorrected, eV per atom: 0.00
Offset from the most stable computed form, eV/atom: 0.3280



(6)
First-principles (meta-GGA SCAN) data for a PBEsol-optimized structure of SnBi2C, as listed in the Alexandria database.

a = 6.426 Å, b = 6.426 Å, c = 6.426 Å
α = 103.81°, β = 112.37°, γ = 112.37°
Positions (direct):
Bi  0.410  0.875  0.785
C  0.500  0.250  0.750
Sn  0.000  0.000  0.000
Bi  0.590  0.375  0.465
Bi  0.910  0.535  0.125
C  0.000  0.500  0.500
Sn  0.500  0.750  0.250
Bi  0.090  0.215  0.625

Calculated density, g cm⁻³: 8.986
E, eV per atom: -49.73



(7)
First-principles (meta-GGA SCAN) data for a PBEsol-optimized structure of Fe3Co4, as listed in the Alexandria database.

a = 2.420 Å, b = 6.057 Å, c = 6.047 Å
α = 117.65°, β = 97.83°, γ = 98.39°
Each line ends with the local moment (μB).
Positions (direct):
Co  0.269  0.217  0.145  1.89
Co  0.731  0.783  0.855  1.89
Fe  0.142  0.355  0.571  2.79
Co  0.419  0.072  0.717  1.89
Fe  0.858  0.645  0.429  2.79
Co  0.581  0.928  0.283  1.89
Fe  0.000  0.500  0.000  2.78

Calculated density, g cm⁻³: 8.864
E, eV per atom: -17.76
Offset from the most stable computed form, eV/atom: 0.0987



(8)
First-principles (meta-GGA SCAN) data for a PBEsol-optimized structure of TiMnTl2Re, as listed in the Alexandria database.

a = 4.114 Å, b = 5.151 Å, c = 5.151 Å
α = 90.00°, β = 90.00°, γ = 90.00°
Each line ends with the local moment (μB).
Positions (direct):
Mn  0.500  0.000  0.000  2.90
Tl  0.000  0.500  0.000  -0.02
Tl  0.000  0.000  0.500  -0.02
Re  0.500  0.500  0.500  2.83
Ti  0.000  0.000  0.000  -0.85

Calculated density, g cm⁻³: 10.615
E, eV per atom: -48.31



(9)
First-principles (meta-GGA SCAN) data for a PBEsol-optimized structure of Te2MoO, as listed in the Alexandria database.

a = 3.540 Å, b = 3.540 Å, c = 7.975 Å
α = 77.18°, β = 77.18°, γ = 60.00°
Positions (direct):
Mo  0.500  0.500  0.500
O  0.000  0.000  0.000
Te  0.089  0.089  0.732
Te  0.911  0.911  0.268

Calculated density, g cm⁻³: 7.288
E, eV per atom: -28.91
Energy relative to the elements, uncorrected, eV per atom: -0.01



(10)
First-principles (meta-GGA SCAN) data for a PBEsol-optimized structure of LaSeN2F, as listed in the Alexandria database.

a = 4.416 Å, b = 4.800 Å, c = 4.800 Å
α = 90.00°, β = 90.00°, γ = 90.00°
Each line ends with the local moment (μB).
Positions (direct):
Se  0.500  0.500  0.500  -0.06
N  0.000  0.500  0.000  1.29
La  0.000  0.000  0.000  0.10
F  0.500  0.000  0.000  0.01
N  0.000  0.000  0.500  1.29

Calculated density, g cm⁻³: 4.324
E, eV per atom: -16.98
Energy relative to the elements, uncorrected, eV per atom: 0.09



(11)
First-principles (meta-GGA SCAN) data for a PBEsol-optimized structure of MnNb2Si2, as listed in the Alexandria database.

a = 3.605 Å, b = 6.346 Å, c = 6.346 Å
α = 90.00°, β = 90.00°, γ = 90.00°
Each line ends with the local moment (μB).
Positions (direct):
Si  0.000  0.132  0.368  -0.04
Si  0.000  0.868  0.632  -0.04
Nb  0.500  0.672  0.828  -0.12
Nb  0.500  0.328  0.172  -0.12
Nb  0.500  0.172  0.672  -0.12
Mn  0.000  0.000  0.000  3.22
Mn  0.000  0.500  0.500  3.22
Si  0.000  0.632  0.132  -0.04
Nb  0.500  0.828  0.328  -0.12
Si  0.000  0.368  0.868  -0.04

Calculated density, g cm⁻³: 6.792
E, eV per atom: -21.52
Energy relative to the elements, uncorrected, eV per atom: -0.62



(12)
First-principles (meta-GGA SCAN) data for a PBEsol-optimized structure of MnCuSeN2, as listed in the Alexandria database.

a = 3.887 Å, b = 3.887 Å, c = 4.417 Å
α = 90.00°, β = 90.00°, γ = 90.00°
Each line ends with the local moment (μB).
Positions (direct):
N  0.500  0.000  0.000  -0.33
Mn  0.500  0.500  0.500  4.50
Se  0.000  0.000  0.000  -0.01
Cu  0.000  0.000  0.500  0.02
N  0.000  0.500  0.000  -0.33

Calculated density, g cm⁻³: 5.612
E, eV per atom: -12.90
Energy relative to the elements, uncorrected, eV per atom: 1.52
Offset from the most stable computed form, eV/atom: 0.9736



Please write out number 4 again, unchanged.
First-principles (meta-GGA SCAN) data for a PBEsol-optimized structure of ZnCdSe2Br, as listed in the Alexandria database.

a = 5.180 Å, b = 5.180 Å, c = 5.227 Å
α = 90.00°, β = 90.00°, γ = 90.00°
Positions (direct):
Cd  0.000  0.000  0.000
Zn  0.500  0.500  0.500
Se  0.500  0.000  0.000
Se  0.000  0.500  0.000
Br  0.000  0.000  0.500

Calculated density, g cm⁻³: 4.921
E, eV per atom: -20.29
Energy relative to the elements, uncorrected, eV per atom: 0.42



Q: Which value of E does entry 1 give?
A: -23.25 eV per atom



Please write out number 1 again, unchanged.
First-principles (meta-GGA SCAN) data for a PBEsol-optimized structure of LaCr3Se, as listed in the Alexandria database.

a = 4.576 Å, b = 4.576 Å, c = 4.576 Å
α = 90.00°, β = 90.00°, γ = 90.00°
Each line ends with the local moment (μB).
Positions (direct):
Cr  0.500  0.000  0.000  3.02
La  0.500  0.500  0.500  -0.28
Cr  0.000  0.000  0.500  3.02
Se  0.000  0.000  0.000  -0.17
Cr  0.000  0.500  0.000  3.02

Calculated density, g cm⁻³: 6.478
E, eV per atom: -23.25
Energy relative to the elements, uncorrected, eV per atom: 0.41



Q: What is the calculated density in the tenth record?
A: 4.324 g cm⁻³